No. 1
# CaNdMgCu

An optimized crystal structure of CaNdMgCu (PBE-GGA, Alexandria).

The structure in extended XYZ format:
```
4
Lattice="0.000 3.737 3.737 3.737 0.000 3.737 3.737 3.737 0.000" Properties=species:S:1:pos:R:3 pbc="T T T"
Ca 0.000 0.000 0.000
Nd 3.737 3.737 3.737
Mg 5.606 5.606 5.606
Cu 1.869 1.869 1.869
```

Results
VASP energy	-3.14	eV/atom
DOS(E_F)	0.8619	states/eV per atom
crystal system	cubic
calculated density	4.3	g/cm³

=====

No. 2
# KTcPO2

An optimized crystal structure of KTcPO2 (PBE-GGA, Alexandria).

The structure in extended XYZ format:
```
5
Lattice="4.067 0.000 0.000 0.000 4.067 0.000 0.000 0.000 6.067" Properties=species:S:1:pos:R:3 pbc="T T T"
K 0.000 0.000 0.000
Tc 2.033 2.033 3.033
P 0.000 0.000 3.033
O 0.000 2.033 0.000
O 2.033 0.000 0.000
```

Results
formation energy from raw total energies	1.576	eV per atom
DOS(E_F)	0.3657	states/eV per atom
crystal system	tetragonal
calculated density	3.3	g/cm³

=====

No. 3
# InIrW2I

An optimized crystal structure of InIrW2I (PBE-GGA, Alexandria).

The structure in extended XYZ format:
```
5
Lattice="4.823 0.000 0.000 0.000 4.823 0.000 0.000 0.000 5.361" Properties=species:S:1:pos:R:3 pbc="T T T"
In 0.000 0.000 0.000
Ir 2.411 2.411 0.000
W 0.000 2.411 2.681
W 2.411 0.000 2.681
I 0.000 0.000 2.681
```

Results
formation energy from raw total energies	2.965	eV per atom
DOS(E_F)	1.1834	states/eV per atom
crystal system	tetragonal
calculated density	10.7	g/cm³

=====

No. 4
# Ce2HoTa

An optimized crystal structure of Ce2HoTa (PBE-GGA, Alexandria).

The structure in extended XYZ format:
```
4
Lattice="1.562 0.902 11.915 -1.562 0.902 11.915 0.000 -1.803 11.915" Properties=species:S:1:pos:R:3 pbc="T T T"
Ce 0.000 0.000 2.839
Ce 0.000 0.000 32.905
Ho 0.000 0.000 17.872
Ta 0.000 0.000 0.000
```

Results
VASP energy	-6.59	eV/atom
DOS(E_F)	2.3402	states/eV per atom
crystal system	trigonal
calculated density	10.3	g/cm³

=====

No. 5
# Re2SeCl

An optimized crystal structure of Re2SeCl (PBE-GGA, Alexandria).

The structure in extended XYZ format:
```
4
Lattice="2.870 0.000 0.000 0.000 4.243 0.000 0.000 0.000 5.404" Properties=species:S:1:pos:R:3 pbc="T T T"
Re 0.000 0.000 0.000
Re 1.435 0.000 2.702
Se 0.000 2.121 2.702
Cl 1.435 2.121 0.000
```

Results
formation energy from raw total energies	1.135	eV per atom
DOS(E_F)	1.0289	states/eV per atom
crystal system	orthorhombic
calculated density	12.3	g/cm³

=====

No. 6
# CsFe3Si

An optimized crystal structure of CsFe3Si (PBE-GGA, Alexandria).

The structure in extended XYZ format:
```
5
Lattice="4.814 0.000 0.000 0.000 4.814 0.000 0.000 0.000 4.814" Properties=species:S:1:pos:R:3 pbc="T T T"
Cs 0.000 0.000 0.000
Fe 0.000 0.000 2.407
Fe 0.000 2.407 0.000
Fe 2.407 0.000 0.000
Si 2.407 2.407 2.407
```

Results
formation energy from raw total energies	2.694	eV per atom
DOS(E_F)	1.8804	states/eV per atom
crystal system	cubic
calculated density	4.9	g/cm³